# 1
YTmAl | PBE | optimized geometry

Calculated values
Uncorrected energy   -13.1 eV/f.u.
Energy above the most stable polymorph in this dataset   79.51 kJ/mol of atoms

a = 7.1477 Å, b = 7.1477 Å, c = 7.1477 Å
α = 90.00°, β = 90.00°, γ = 90.00°
Space group F-43m (No. 216)
Unique sites:
Y 0.0000 0.0000 0.0000
Tm 0.2500 0.2500 0.2500
Al 0.2500 0.2500 0.7500

***

# 2
TmAlZn | PBE | optimized geometry

Calculated values
Uncorrected energy   -10.8 eV/f.u.

a = 4.4417 Å, b = 4.4417 Å, c = 7.0073 Å
α = 90.00°, β = 90.00°, γ = 120.00°
Space group P6_3mc (No. 186)
Unique sites:
Tm 0.0000 0.0000 0.0000
Al 0.3333 0.6667 0.2252
Zn 0.3333 0.6667 0.7919

***

# 3
TmAlZn | PBE | optimized geometry

Calculated values
Uncorrected energy   -10.1 eV/f.u.

a = 4.8598 Å, b = 4.8598 Å, c = 5.8726 Å
α = 90.00°, β = 90.00°, γ = 120.00°
Space group P6_3/mmc (No. 194)
Unique sites:
Tm 0.3333 0.6667 0.2500
Al 0.3333 0.6667 0.7500
Zn 0.0000 0.0000 0.0000

***

# 4
TmAlZn | PBE | optimized geometry

Calculated values
Uncorrected energy   -10.8 eV/f.u.

a = 7.0209 Å, b = 4.4381 Å, c = 7.6358 Å
α = 90.00°, β = 90.00°, γ = 90.00°
Space group Pnma (No. 62)
Unique sites:
Tm 0.0036 0.2500 0.2175
Al 0.2075 0.2500 0.5865
Zn 0.2060 0.7500 0.4151

***

# 5
TmAlZn | PBE | optimized geometry

Calculated values
Uncorrected energy   -10.8 eV/f.u.

a = 4.4524 Å, b = 4.4524 Å, c = 6.9595 Å
α = 90.00°, β = 90.00°, γ = 120.00°
Space group P6_3/mmc (No. 194)
Unique sites:
Tm 0.0000 0.0000 0.0000
Al 0.3333 0.6667 0.2500
Zn 0.3333 0.6667 0.7500

***

# 6
TmAlZn | PBE | optimized geometry

Calculated values
Uncorrected energy   -9.8 eV/f.u.

a = 5.0333 Å, b = 5.0333 Å, c = 8.6179 Å
α = 90.00°, β = 90.00°, γ = 120.00°
Space group R3m (No. 160, hexagonal axes)
Unique sites:
Tm 0.0000 0.0000 0.0000
Al 0.0000 0.0000 0.3690
Zn 0.0000 0.0000 0.6627

***

# 7
TmAlZn | PBE | optimized geometry

Calculated values
Uncorrected energy   -10.8 eV/f.u.

a = 4.4647 Å, b = 4.4647 Å, c = 3.4490 Å
α = 90.00°, β = 90.00°, γ = 120.00°
Space group P-6m2 (No. 187)
Unique sites:
Tm 0.0000 0.0000 0.0000
Al 0.3333 0.6667 0.5000
Zn 0.6667 0.3333 0.5000

***

# 8
UAl3 | PBE | optimized geometry

Calculated values
Uncorrected energy   -23.0 eV/f.u.

a = 4.2354 Å, b = 4.2354 Å, c = 4.2354 Å
α = 90.00°, β = 90.00°, γ = 90.00°
Space group Pm-3m (No. 221)
Unique sites:
U 0.0000 0.0000 0.0000
Al 0.0000 0.5000 0.5000

***

# 9
UAl2 | PBE | optimized geometry

Calculated values
Uncorrected energy   -19.4 eV/f.u.

a = 5.5906 Å, b = 5.5906 Å, c = 16.9340 Å
α = 90.00°, β = 90.00°, γ = 120.00°
Space group P6_3/mmc (No. 194)
Unique sites:
U 0.0000 0.0000 0.0770
U 0.3333 0.6667 0.1723
Al 0.0000 0.5000 0.0000
Al 0.1582 0.3164 0.7500
Al 0.3333 0.6667 0.6274

***

# 10
UAl2 | PBE | optimized geometry

Calculated values
Uncorrected energy   -15.1 eV/f.u.

a = 5.7276 Å, b = 5.7276 Å, c = 5.5081 Å
α = 90.00°, β = 90.00°, γ = 90.00°
Space group P4_2/mnm (No. 136)
Unique sites:
U 0.0000 0.0000 0.0000
Al 0.1520 0.1520 0.5000

***

# 11
UAl3 | PBE | optimized geometry

Calculated values
Uncorrected energy   -22.9 eV/f.u.

a = 6.1731 Å, b = 6.1731 Å, c = 4.6399 Å
α = 90.00°, β = 90.00°, γ = 120.00°
Space group P6_3/mmc (No. 194)
Unique sites:
U 0.3333 0.6667 0.2500
Al 0.1520 0.3040 0.7500

***

# 12
UAlZn | PBE | optimized geometry

Calculated values
Uncorrected energy   -13.8 eV/f.u.

a = 6.7236 Å, b = 6.7236 Å, c = 6.7236 Å
α = 90.00°, β = 90.00°, γ = 90.00°
Space group F-43m (No. 216)
Unique sites:
U 0.0000 0.0000 0.0000
Al 0.2500 0.2500 0.7500
Zn 0.2500 0.2500 0.2500